First-principles (PBE-GGA) data for a relaxed structure of HoHfSb2O, as listed in Alexandria via LeMat-Bulk.

Geometry as POSCAR:
```
HoHfSb2O
1.0
3.917 0.000 0.000
0.000 3.917 0.000
0.000 0.000 15.889
Ho Hf Sb O
2 2 4 2
direct
0.250 0.250 0.068 Ho
0.750 0.750 0.932 Ho
0.250 0.250 0.620 Hf
0.750 0.750 0.380 Hf
0.250 0.250 0.424 Sb
0.250 0.250 0.798 Sb
0.750 0.750 0.202 Sb
0.750 0.750 0.576 Sb
0.250 0.750 0.000 O
0.750 0.250 0.000 O
```

As for the raw formation energy: -1.431 eV/atom. As for the total energy: -69.781 eV for the cell shown.